# GGA-PBE Zr2ScIn3Cu2Ni, relaxed
data_Zr2ScIn3Cu2Ni
_chemical_formula_sum 'Zr4 Sc2 In6 Cu4 Ni2'
_symmetry_space_group_name_H-M 'A m m 2'
_symmetry_Int_Tables_number 38
_cell_length_a 3.5730
_cell_length_b 12.6304
_cell_length_c 7.3420
_cell_angle_alpha 90.00
_cell_angle_beta 90.00
_cell_angle_gamma 90.00
loop_
_symmetry_equiv_pos_as_xyz
'x,y,z'
'-x,-y,z'
'-x,y,z'
'x,-y,z'
'x,y+1/2,z+1/2'
'-x,-y+1/2,z+1/2'
'-x,y+1/2,z+1/2'
'x,-y+1/2,z+1/2'
loop_
_atom_site_label
_atom_site_type_symbol
_atom_site_fract_x
_atom_site_fract_y
_atom_site_fract_z
_atom_site_occupancy
Zr1 Zr 0.0000 0.1990 0.0000 1
Sc1 Sc 0.0000 0.0000 0.5965 1
In1 In 0.5000 0.0000 0.9334 1
In2 In 0.5000 0.1316 0.3293 1
Cu1 Cu 0.5000 0.1662 0.6968 1
Ni1 Ni 0.0000 0.0000 0.1948 1
# Magnetization: 0.3 μB per cell
# Final energy: -47.703 eV per formula unit
# V: 331.3 Å³/cell
# Crystal system: orthorhombic